Crystalline Al3ReAg at its relaxed geometry. Source: Alexandria, functional PBE.

Cell lengths 4.7782, 4.7782, 4.7782 Å; angles 90.00, 90.00, 90.00 degrees
Fractional coordinates of all 5 atoms:
1 Al 0.0000 0.0000 0.5000
2 Al 0.0000 0.5000 0.0000
3 Al 0.5000 0.0000 0.0000
4 Re 0.0000 0.0000 0.0000
5 Ag 0.5000 0.5000 0.5000

## Properties
- polymorph energy (0 for the lowest one) (kJ/mol of formula units) = 0
- magnetization (μB/f.u.) = 0.000
- E_form (eV per atom) = 0.416